NbCoSbF2 | PBE+U | optimized geometry

a = 4.032 Å, b = 4.032 Å, c = 5.692 Å
α = 90.00°, β = 90.00°, γ = 90.00°
Sites, in units of the cell vectors:
Nb 0.000 0.000 0.000
Co 0.500 0.500 0.500
Sb 0.000 0.000 0.500
F 0.000 0.500 0.000
F 0.500 0.000 0.000

Properties
Magnetization in μB/f.u.: 1.13
VASP energy in eV for the cell shown: -26.5
N(E_F) in states/eV/cell: 5.8
Space group: P4/mmm (123)